[1]
Dy5Ge2Bi2: optimized geometry, PBE.

Calculated values
* total magnetization: 0.00 μB/f.u.
* energy relative to the elements: -855 meV/atom
* D(E_F): 0.617 states/eV per atom

a b c (Å): 8.6702 8.6702 8.0155
angles (deg): 90.00 90.00 54.96
With the nearest neighbours (Å) after each atom.
Fractional coordinates of all 18 atoms:
Dy1 0.0000 0.0000 0.0000  4 Ge 3.08-3.10, 2 Bi 3.17
Dy2 0.0386 0.7149 0.6616  3 Ge 2.93-3.09, 3 Bi 3.20-3.27
Dy3 0.2149 0.5386 0.1616  3 Ge 2.93-3.09, 3 Bi 3.20-3.27
Dy4 0.2851 0.9614 0.6616  3 Ge 2.93-3.09, 3 Bi 3.20-3.27
Dy5 0.4614 0.7851 0.1616  3 Ge 2.93-3.09, 3 Bi 3.20-3.27
Dy6 0.5000 0.5000 0.5000  4 Ge 3.08-3.10, 2 Bi 3.17
Dy7 0.5386 0.2149 0.8384  3 Ge 2.93-3.09, 3 Bi 3.20-3.27
Dy8 0.7149 0.0386 0.3384  3 Ge 2.93-3.09, 3 Bi 3.20-3.27
Dy9 0.7851 0.4614 0.8384  3 Ge 2.93-3.09, 3 Bi 3.20-3.27
Dy10 0.9614 0.2851 0.3384  3 Ge 2.93-3.09, 3 Bi 3.20-3.27
Ge1 0.1420 0.8580 0.3593  8 Dy 2.93-3.10, 1 Ge 3.20
Ge2 0.3580 0.6420 0.8593  8 Dy 2.93-3.10, 1 Ge 3.20
Ge3 0.6420 0.3580 0.1407  8 Dy 2.93-3.10, 1 Ge 3.20
Ge4 0.8580 0.1420 0.6407  8 Dy 2.93-3.10, 1 Ge 3.20
Bi1 0.2062 0.2062 0.0000  7 Dy 3.17-3.27
Bi2 0.2938 0.2938 0.5000  7 Dy 3.17-3.27
Bi3 0.7062 0.7062 0.5000  7 Dy 3.17-3.27
Bi4 0.7938 0.7938 0.0000  7 Dy 3.17-3.27


[2]
AcPrTh2As4: optimized geometry, PBE.

Calculated values
* total magnetization: 0.00 μB/f.u.
* energy relative to the elements: -1446 meV/atom
* D(E_F): 0.537 states/eV per atom

a b c (Å): 7.5034 4.3330 7.5291
angles (deg): 90.00 109.45 90.00
With the nearest neighbours (Å) after each atom.
Fractional coordinates of all 8 atoms:
Ac1 0.0000 0.0000 0.0000  6 As 3.14
Pr1 0.5000 0.5000 0.0000  6 As 3.10
Th1 0.0000 0.5000 0.5000  6 As 3.04
Th2 0.5000 0.0000 0.5000  6 As 2.99-3.00
As1 0.2509 0.0000 0.7390  3 Th 3.00-3.04, 2 Pr 3.10, 1 Ac 3.14
As2 0.2596 0.5000 0.2650  3 Th 2.99-3.04, 1 Pr 3.10, 2 Ac 3.14
As3 0.7404 0.5000 0.7350  3 Th 2.99-3.04, 1 Pr 3.10, 2 Ac 3.14
As4 0.7491 0.0000 0.2610  3 Th 3.00-3.04, 2 Pr 3.10, 1 Ac 3.14


[3]
Tc4Mo2Os3: optimized geometry, PBE.

Calculated values
* total magnetization: 0.00 μB/f.u.
* energy relative to the elements: 136 meV/atom
* D(E_F): 0.818 states/eV per atom

a b c (Å): 5.4054 6.6015 7.9616
angles (deg): 77.38 81.22 78.92
With the nearest neighbours (Å) after each atom.
Fractional coordinates of all 18 atoms:
Tc1 0.0050 0.1752 0.3982  4 Os 2.52-2.72, 2 Tc 2.52-2.74, 2 Mo 2.65-2.75
Tc2 0.1784 0.5248 0.1980  4 Mo 2.60-2.87, 2 Tc 2.67-2.74, 4 Os 2.82-2.90
Tc3 0.3471 0.8321 0.2941  5 Tc 2.67-2.86, 5 Os 2.70-2.91, 2 Mo 2.73-2.89
Tc4 0.4311 0.8433 0.9420  4 Os 2.64-2.76, 3 Mo 2.68-2.74, 3 Tc 2.71-2.85
Tc5 0.5689 0.1567 0.0580  4 Os 2.64-2.76, 3 Mo 2.68-2.74, 3 Tc 2.71-2.85
Tc6 0.6529 0.1679 0.7059  5 Tc 2.67-2.86, 5 Os 2.70-2.91, 2 Mo 2.73-2.89
Tc7 0.8216 0.4752 0.8020  4 Mo 2.60-2.87, 2 Tc 2.67-2.74, 4 Os 2.82-2.90
Tc8 0.9950 0.8248 0.6018  4 Os 2.52-2.72, 2 Tc 2.52-2.74, 2 Mo 2.65-2.75
Mo1 0.2879 0.4967 0.8732  5 Tc 2.60-2.84, 3 Os 2.66-2.84
Mo2 0.4950 0.1839 0.3931  2 Os 2.57-2.65, 1 Mo 2.64, 5 Tc 2.65-2.87
Mo3 0.5050 0.8161 0.6069  2 Os 2.57-2.65, 1 Mo 2.64, 5 Tc 2.65-2.87
Mo4 0.7121 0.5033 0.1268  5 Tc 2.60-2.84, 3 Os 2.66-2.84
Os1 0.0811 0.1530 0.0565  3 Os 2.61-2.73, 6 Tc 2.64-2.90, 2 Mo 2.75-2.84
Os2 0.1579 0.1158 0.7173  3 Os 2.61-2.73, 6 Tc 2.64-2.84, 1 Mo 2.65
Os3 0.2575 0.4817 0.5463  3 Tc 2.52-2.82, 2 Mo 2.57-2.66, 2 Os 2.61-2.66
Os4 0.7425 0.5183 0.4537  3 Tc 2.52-2.82, 2 Mo 2.57-2.66, 2 Os 2.61-2.66
Os5 0.8421 0.8842 0.2827  3 Os 2.61-2.73, 6 Tc 2.64-2.84, 1 Mo 2.65
Os6 0.9189 0.8470 0.9435  3 Os 2.61-2.73, 6 Tc 2.64-2.90, 2 Mo 2.75-2.84


[4]
Ni2AgTeRu: optimized geometry, PBE.

Calculated values
* total magnetization: 2.09 μB/f.u.
* D(E_F): 1.127 states/eV per atom
* ΔE_f (raw): 4.72 eV/f.u.

a b c (Å): 4.6152 4.6152 4.9434
angles (deg): 90.00 90.00 90.00
With the nearest neighbours (Å) after each atom.
Fractional coordinates of all 5 atoms:
Ni1 0.0000 0.5000 0.0000  2 Ru 2.31
Ni2 0.5000 0.0000 0.0000  2 Ru 2.31
Ag1 0.0000 0.0000 0.5000  4 Te 3.26, 8 Ni 3.38
Te1 0.5000 0.5000 0.5000  2 Ru 2.47
Ru1 0.5000 0.5000 0.0000  4 Ni 2.31, 2 Te 2.47


[5]
HfTiBr3: optimized geometry, PBE.

Calculated values
* offset from the most stable computed form: 0 meV per atom
* total magnetization: 0.00 μB/f.u.
* D(E_F): 0.360 states/eV per atom
* ΔE_f (raw): -4.89 eV/f.u.

a b c (Å): 9.4867 9.4867 9.7402
angles (deg): 113.43 113.43 20.85
With the nearest neighbours (Å) after each atom.
Fractional coordinates of all 10 atoms:
Hf1 0.0815 0.0815 0.4634  4 Br 2.71-2.72, 4 Ti 2.98
Hf2 0.9185 0.9185 0.5366  4 Br 2.71-2.72, 4 Ti 2.98
Ti1 0.4415 0.4415 0.3077  4 Br 2.62-2.70
Ti2 0.5585 0.5585 0.6923  4 Br 2.62-2.70
Br1 0.1252 0.1252 0.9101  2 Ti 2.62
Br2 0.3081 0.3081 0.3538  1 Ti 2.70, 2 Hf 2.72
Br3 0.4327 0.4327 0.7619  1 Ti 2.69, 2 Hf 2.71
Br4 0.5673 0.5673 0.2381  1 Ti 2.69, 2 Hf 2.71
Br5 0.6919 0.6919 0.6462  1 Ti 2.70, 2 Hf 2.72
Br6 0.8748 0.8748 0.0899  2 Ti 2.62


[6]
SrLiCd4: optimized geometry, PBE.

Calculated values
* offset from the most stable computed form: 48 meV per atom
* total magnetization: 0.00 μB/f.u.
* energy relative to the elements: -219 meV/atom
* D(E_F): 0.589 states/eV per atom

a b c (Å): 6.0107 6.0107 6.0107
angles (deg): 60.00 60.00 60.00
With the nearest neighbours (Å) after each atom.
Fractional coordinates of all 6 atoms:
Sr1 0.0000 0.0000 0.0000  12 Cd 3.53, 4 Li 3.68
Li1 0.7500 0.7500 0.7500  12 Cd 3.52, 4 Sr 3.68
Cd1 0.3759 0.3759 0.3759  6 Cd 2.98-3.03
Cd2 0.3759 0.3759 0.8723  6 Cd 2.98-3.03
Cd3 0.3759 0.8723 0.3759  6 Cd 2.98-3.03
Cd4 0.8723 0.3759 0.3759  6 Cd 2.98-3.03


[7]
LaZrCu: optimized geometry, PBE.

Calculated values
* offset from the most stable computed form: 131 meV per atom
* total magnetization: 0.00 μB/f.u.
* energy relative to the elements: 82 meV/atom
* D(E_F): 1.175 states/eV per atom

a b c (Å): 5.2068 3.3821 8.4063
angles (deg): 90.00 108.03 90.00
With the nearest neighbours (Å) after each atom.
Fractional coordinates of all 6 atoms:
La1 0.0000 0.0000 0.0000  4 Cu 3.09-3.26, 4 Zr 3.14, 2 La 3.38
La2 0.3258 0.0000 0.6583  6 Cu 3.10-3.17, 2 La 3.38
Zr1 0.5295 0.5000 0.0594  2 Zr 2.98, 4 La 3.14, 1 Cu 3.34
Zr2 0.6832 0.0000 0.3666  6 Cu 2.83-3.13, 2 Zr 2.98
Cu1 0.1637 0.5000 0.3229  4 La 3.09-3.17, 6 Zr 3.11-3.36, 2 Cu 3.38
Cu2 0.8210 0.5000 0.6506  2 Zr 2.83, 4 La 3.10-3.11


[8]
PrCu2Au10: optimized geometry, PBE.

Calculated values
* total magnetization: 0.00 μB/f.u.
* energy relative to the elements: -221 meV/atom
* D(E_F): 0.399 states/eV per atom

a b c (Å): 9.4553 7.2906 7.1521
angles (deg): 81.78 49.74 48.47
With the nearest neighbours (Å) after each atom.
Fractional coordinates of all 13 atoms:
Pr1 0.0000 0.0000 0.0000  12 Au 3.23-3.41, 4 Cu 3.58
Cu1 0.0000 0.0000 0.5000  8 Au 2.67-2.76, 2 Cu 2.73
Cu2 0.5000 0.5000 0.0000  8 Au 2.67-2.76, 2 Cu 2.73
Au1 0.0000 0.5000 0.0000  10 Au 2.73-2.97
Au2 0.0151 0.6582 0.3418  2 Cu 2.76, 6 Au 2.89-3.01
Au3 0.2847 0.5084 0.4916  2 Cu 2.67, 7 Au 2.80-2.98
Au4 0.3418 0.9849 0.0151  2 Cu 2.76, 6 Au 2.89-3.01
Au5 0.4916 0.7153 0.2847  2 Cu 2.67, 7 Au 2.80-2.98
Au6 0.5000 0.0000 0.5000  10 Au 2.73-2.97
Au7 0.5084 0.2847 0.7153  2 Cu 2.67, 7 Au 2.80-2.98
Au8 0.6582 0.0151 0.9849  2 Cu 2.76, 6 Au 2.89-3.01
Au9 0.7153 0.4916 0.5084  2 Cu 2.67, 7 Au 2.80-2.98
Au10 0.9849 0.3418 0.6582  2 Cu 2.76, 6 Au 2.89-3.01